one:
Density functional theory data (GGA-PBE) for RbSc3Cr after structural relaxation.

Computed properties:
As for the calculated density: 3.16 g/cm3.

Cell and atoms, written as CIF:
```
data_RbSc3Cr
_chemical_formula_sum 'Rb1 Sc3 Cr1'
_cell_length_a 5.231
_cell_length_b 5.231
_cell_length_c 5.231
_cell_angle_alpha 90.00
_cell_angle_beta 90.00
_cell_angle_gamma 90.00
_space_group_name_H-M_alt 'P m -3 m'
_space_group_IT_number 221
_space_group_name_Hall '-P 4 2 3'
loop_
_atom_site_label
_atom_site_type_symbol
_atom_site_fract_x
_atom_site_fract_y
_atom_site_fract_z
Rb1 Rb 0.000 0.000 0.000
Sc1 Sc 0.000 0.500 0.500
Cr1 Cr 0.500 0.500 0.500
```

=====

two:
Density functional theory data (GGA-PBE) for RbSc3Cr after structural relaxation.

Computed properties:
As for the calculated density: 3.54 g/cm3.

Cell and atoms, written as CIF:
```
data_RbSc3Cr
_chemical_formula_sum 'Rb1 Sc3 Cr1'
_cell_length_a 5.037
_cell_length_b 5.037
_cell_length_c 5.037
_cell_angle_alpha 90.00
_cell_angle_beta 90.00
_cell_angle_gamma 90.00
_space_group_name_H-M_alt 'P m -3 m'
_space_group_IT_number 221
_space_group_name_Hall '-P 4 2 3'
loop_
_atom_site_label
_atom_site_type_symbol
_atom_site_fract_x
_atom_site_fract_y
_atom_site_fract_z
Rb1 Rb 0.000 0.000 0.000
Sc1 Sc 0.000 0.000 0.500
Cr1 Cr 0.500 0.500 0.500
```

=====

Stability, lowest: two

=====

one:
Density functional theory data (GGA-PBE) for RbCr3Se after structural relaxation.

Computed properties:
As for the calculated density: 2.98 g/cm3.

Cell and atoms, written as CIF:
```
data_RbCr3Se
_chemical_formula_sum 'Rb1 Cr3 Se1'
_cell_length_a 5.630
_cell_length_b 5.630
_cell_length_c 5.630
_cell_angle_alpha 90.00
_cell_angle_beta 90.00
_cell_angle_gamma 90.00
_space_group_name_H-M_alt 'P m -3 m'
_space_group_IT_number 221
_space_group_name_Hall '-P 4 2 3'
loop_
_atom_site_label
_atom_site_type_symbol
_atom_site_fract_x
_atom_site_fract_y
_atom_site_fract_z
Rb1 Rb 0.000 0.000 0.000
Cr1 Cr 0.000 0.000 0.500
Se1 Se 0.500 0.500 0.500
```

=====

two:
Density functional theory data (GGA-PBE) for RbCr3Se after structural relaxation.

Computed properties:
As for the calculated density: 3.79 g/cm3.

Cell and atoms, written as CIF:
```
data_RbCr3Se
_chemical_formula_sum 'Rb1 Cr3 Se1'
_cell_length_a 5.198
_cell_length_b 5.198
_cell_length_c 5.198
_cell_angle_alpha 90.00
_cell_angle_beta 90.00
_cell_angle_gamma 90.00
_space_group_name_H-M_alt 'P m -3 m'
_space_group_IT_number 221
_space_group_name_Hall '-P 4 2 3'
loop_
_atom_site_label
_atom_site_type_symbol
_atom_site_fract_x
_atom_site_fract_y
_atom_site_fract_z
Rb1 Rb 0.000 0.000 0.000
Cr1 Cr 0.000 0.500 0.500
Se1 Se 0.500 0.500 0.500
```

=====

Stability, lowest: one

=====

one:
Density functional theory data (GGA-PBE) for RbCr3Si after structural relaxation.

Computed properties:
As for the calculated density: 3.48 g/cm3.

Cell and atoms, written as CIF:
```
data_RbCr3Si
_chemical_formula_sum 'Rb1 Cr3 Si1'
_cell_length_a 5.047
_cell_length_b 5.047
_cell_length_c 5.047
_cell_angle_alpha 90.00
_cell_angle_beta 90.00
_cell_angle_gamma 90.00
_space_group_name_H-M_alt 'P m -3 m'
_space_group_IT_number 221
_space_group_name_Hall '-P 4 2 3'
loop_
_atom_site_label
_atom_site_type_symbol
_atom_site_fract_x
_atom_site_fract_y
_atom_site_fract_z
Rb1 Rb 0.000 0.000 0.000
Cr1 Cr 0.000 0.500 0.500
Si1 Si 0.500 0.500 0.500
```

=====

two:
Density functional theory data (GGA-PBE) for RbCr3Si after structural relaxation.

Computed properties:
As for the calculated density: 2.76 g/cm3.

Cell and atoms, written as CIF:
```
data_RbCr3Si
_chemical_formula_sum 'Rb1 Cr3 Si1'
_cell_length_a 5.455
_cell_length_b 5.455
_cell_length_c 5.455
_cell_angle_alpha 90.00
_cell_angle_beta 90.00
_cell_angle_gamma 90.00
_space_group_name_H-M_alt 'P m -3 m'
_space_group_IT_number 221
_space_group_name_Hall '-P 4 2 3'
loop_
_atom_site_label
_atom_site_type_symbol
_atom_site_fract_x
_atom_site_fract_y
_atom_site_fract_z
Rb1 Rb 0.000 0.000 0.000
Cr1 Cr 0.000 0.000 0.500
Si1 Si 0.500 0.500 0.500
```

=====

Stability, lowest: two

=====

one:
Density functional theory data (GGA-PBE) for Rb3SrCr after structural relaxation.

Computed properties:
As for the calculated density: 1.82 g/cm3.

Cell and atoms, written as CIF:
```
data_Rb3SrCr
_chemical_formula_sum 'Rb3 Sr1 Cr1'
_cell_length_a 7.126
_cell_length_b 7.126
_cell_length_c 7.126
_cell_angle_alpha 90.00
_cell_angle_beta 90.00
_cell_angle_gamma 90.00
_space_group_name_H-M_alt 'P m -3 m'
_space_group_IT_number 221
_space_group_name_Hall '-P 4 2 3'
loop_
_atom_site_label
_atom_site_type_symbol
_atom_site_fract_x
_atom_site_fract_y
_atom_site_fract_z
Rb1 Rb 0.000 0.000 0.500
Sr1 Sr 0.500 0.500 0.500
Cr1 Cr 0.000 0.000 0.000
```

=====

two:
Density functional theory data (GGA-PBE) for Rb3SrCr after structural relaxation.

Computed properties:
As for the calculated density: 1.20 g/cm3.

Cell and atoms, written as CIF:
```
data_Rb3SrCr
_chemical_formula_sum 'Rb3 Sr1 Cr1'
_cell_length_a 8.172
_cell_length_b 8.172
_cell_length_c 8.172
_cell_angle_alpha 90.00
_cell_angle_beta 90.00
_cell_angle_gamma 90.00
_space_group_name_H-M_alt 'P m -3 m'
_space_group_IT_number 221
_space_group_name_Hall '-P 4 2 3'
loop_
_atom_site_label
_atom_site_type_symbol
_atom_site_fract_x
_atom_site_fract_y
_atom_site_fract_z
Rb1 Rb 0.000 0.000 0.500
Sr1 Sr 0.000 0.000 0.000
Cr1 Cr 0.500 0.500 0.500
```

=====

Stability, lowest: two

=====

one:
Density functional theory data (GGA-PBE) for RbSrCr2 after structural relaxation.

Computed properties:
As for the calculated density: 4.28 g/cm3.

Cell and atoms, written as CIF:
```
data_RbSrCr2
_chemical_formula_sum 'Rb4 Sr4 Cr8'
_cell_length_a 7.549
_cell_length_b 7.549
_cell_length_c 7.549
_cell_angle_alpha 90.00
_cell_angle_beta 90.00
_cell_angle_gamma 90.00
_space_group_name_H-M_alt 'F m -3 m'
_space_group_IT_number 225
_space_group_name_Hall '-F 4 2 3'
loop_
_atom_site_label
_atom_site_type_symbol
_atom_site_fract_x
_atom_site_fract_y
_atom_site_fract_z
Rb1 Rb 0.000 0.000 0.000
Sr1 Sr 0.000 0.000 0.500
Cr1 Cr 0.250 0.250 0.250
```

=====

two:
Density functional theory data (GGA-PBE) for RbSrCr2 after structural relaxation.

Computed properties:
As for the calculated density: 3.06 g/cm3.

Cell and atoms, written as CIF:
```
data_RbSrCr2
_chemical_formula_sum 'Rb4 Sr4 Cr8'
_cell_length_a 9.306
_cell_length_b 9.306
_cell_length_c 6.948
_cell_angle_alpha 90.00
_cell_angle_beta 90.00
_cell_angle_gamma 90.00
_space_group_name_H-M_alt 'I -4 2 d'
_space_group_IT_number 122
_space_group_name_Hall 'I -4 2bw'
loop_
_atom_site_label
_atom_site_type_symbol
_atom_site_fract_x
_atom_site_fract_y
_atom_site_fract_z
Rb1 Rb 0.000 0.000 0.000
Sr1 Sr 0.000 0.000 0.500
Cr1 Cr 0.243 0.750 0.625
```

=====

Stability, lowest: one

=====

one:
Density functional theory data (GGA-PBE) for RbTaCr2 after structural relaxation.

Computed properties:
As for the calculated density: 7.54 g/cm3.

Cell and atoms, written as CIF:
```
data_RbTaCr2
_chemical_formula_sum 'Rb4 Ta4 Cr8'
_cell_length_a 6.884
_cell_length_b 6.884
_cell_length_c 6.884
_cell_angle_alpha 90.00
_cell_angle_beta 90.00
_cell_angle_gamma 90.00
_space_group_name_H-M_alt 'F m -3 m'
_space_group_IT_number 225
_space_group_name_Hall '-F 4 2 3'
loop_
_atom_site_label
_atom_site_type_symbol
_atom_site_fract_x
_atom_site_fract_y
_atom_site_fract_z
Rb1 Rb 0.000 0.000 0.000
Ta1 Ta 0.000 0.000 0.500
Cr1 Cr 0.250 0.250 0.250
```

=====

two:
Density functional theory data (GGA-PBE) for RbTaCr2 after structural relaxation.

Computed properties:
As for the calculated density: 4.77 g/cm3.

Cell and atoms, written as CIF:
```
data_RbTaCr2
_chemical_formula_sum 'Rb4 Ta4 Cr8'
_cell_length_a 5.653
_cell_length_b 5.653
_cell_length_c 16.141
_cell_angle_alpha 90.00
_cell_angle_beta 90.00
_cell_angle_gamma 90.00
_space_group_name_H-M_alt 'I 41/a m d'
_space_group_IT_number 141
loop_
_space_group_symop_operation_xyz
'x,y,z'
'-x,-y,-z'
'-y+1/4,x+3/4,z+1/4'
'y+1/4,-x+3/4,-z+1/4'
'-x+1/2,-y,z+1/2'
'x+1/2,y,-z+1/2'
'y+1/4,-x+1/4,z+3/4'
'-y+1/4,x+1/4,-z+3/4'
'x,-y,-z'
'-x,y,z'
'-y+1/4,-x+1/4,-z+3/4'
'y+1/4,x+1/4,z+3/4'
'-x+1/2,y,-z+1/2'
'x+1/2,-y,z+1/2'
'y+1/4,x+3/4,-z+1/4'
'-y+1/4,-x+3/4,z+1/4'
'x+1/2,y+1/2,z+1/2'
'-x+1/2,-y+1/2,-z+1/2'
'-y+3/4,x+1/4,z+3/4'
'y+3/4,-x+1/4,-z+3/4'
'-x,-y+1/2,z'
'x,y+1/2,-z'
'y+3/4,-x+3/4,z+1/4'
'-y+3/4,x+3/4,-z+1/4'
'x+1/2,-y+1/2,-z+1/2'
'-x+1/2,y+1/2,z+1/2'
'-y+3/4,-x+3/4,-z+1/4'
'y+3/4,x+3/4,z+1/4'
'-x,y+1/2,-z'
'x,-y+1/2,z'
'y+3/4,x+1/4,-z+3/4'
'-y+3/4,-x+1/4,z+3/4'
loop_
_atom_site_label
_atom_site_type_symbol
_atom_site_fract_x
_atom_site_fract_y
_atom_site_fract_z
Rb1 Rb 0.000 0.250 0.375
Ta1 Ta 0.000 0.250 0.875
Cr1 Cr 0.000 0.000 0.000
```

=====

Stability, lowest: two